[1]
## La2DyP2Br2 (GGA-PBE)

Data for a relaxed La2DyP2Br2 crystal.

Structure (POSCAR):
```
La2DyP2Br2
1.0
-2.641 2.641 7.774
2.641 -2.641 7.774
2.641 2.641 -7.774
La Dy P Br
2 1 2 2
Direct
0.105 0.105 0.000
0.895 0.895 0.000
0.500 0.500 0.000
0.000 0.500 0.500
0.500 0.000 0.500
0.307 0.307 0.000
0.693 0.693 0.000
```

Calculated values
uncorrected formation energy	-1.432	eV/atom
space group	I4/mmm (139)
volume	31.00	Å³ per atom

=====

[2]
## CoSn2Rh (GGA-PBE)

Data for a relaxed CoSn2Rh crystal.

Structure (POSCAR):
```
CoSn2Rh
1.0
0.000 3.220 3.220
3.220 0.000 3.220
3.220 3.220 0.000
Co Sn Rh
1 2 1
Direct
0.000 0.000 0.000
0.250 0.250 0.250
0.750 0.750 0.750
0.500 0.500 0.500
```

Calculated values
E_form	-7.4	kJ/mol of atoms
space group	Fm-3m (225)
volume	16.69	Å³ per atom

=====

[3]
## BaMg2In3 (GGA-PBE)

Data for a relaxed BaMg2In3 crystal.

Structure (POSCAR):
```
BaMg2In3
1.0
6.030 -4.885 0.000
6.030 4.885 0.000
0.000 0.000 6.013
Ba Mg In
2 4 6
Direct
0.177 0.823 0.750
0.823 0.177 0.250
0.282 0.282 0.000
0.282 0.282 0.500
0.718 0.718 0.000
0.718 0.718 0.500
0.045 0.593 0.250
0.407 0.955 0.250
0.448 0.552 0.250
0.552 0.448 0.750
0.593 0.045 0.750
0.955 0.407 0.750
```

Calculated values
E_form	-23.1	kJ/mol of atoms
space group	Cmcm (63)
volume	29.52	Å³ per atom

=====

[4]
## SrLi2H6 (GGA-PBE)

Data for a relaxed SrLi2H6 crystal.

Structure (POSCAR):
```
SrLi2H6
1.0
0.000 3.680 3.680
3.680 0.000 3.680
3.680 3.680 0.000
Sr Li H
1 2 6
Direct
0.000 0.000 0.000
0.250 0.250 0.250
0.750 0.750 0.750
0.314 0.314 0.686
0.314 0.686 0.314
0.314 0.686 0.686
0.686 0.314 0.314
0.686 0.314 0.686
0.686 0.686 0.314
```

Calculated values
VASP energy	-2.3219	eV per atom
space group	Fm-3m (225)
volume	11.07	Å³ per atom

=====

[5]
## Bi2WCl2 (GGA-PBE)

Data for a relaxed Bi2WCl2 crystal.

Structure (POSCAR):
```
Bi2WCl2
1.0
-1.816 1.816 9.864
1.816 -1.816 9.864
1.816 1.816 -9.864
Bi W Cl
2 1 2
Direct
0.081 0.081 0.000
0.919 0.919 0.000
0.500 0.500 0.000
0.250 0.750 0.500
0.750 0.250 0.500
```

Calculated values
uncorrected formation energy	0.558	eV/atom
space group	I4/mmm (139)
volume	26.02	Å³ per atom

=====

[6]
## Y12Bi3H5 (GGA-PBE)

Data for a relaxed Y12Bi3H5 crystal.

Structure (POSCAR):
```
Y12Bi3H5
1.0
-7.895 7.895 7.895
7.895 -7.895 7.895
7.895 7.895 -7.895
Y Bi H
48 12 20
Direct
0.009 0.203 0.107
0.009 0.306 0.901
0.096 0.703 0.694
0.096 0.893 0.401
0.099 0.607 0.404
0.099 0.991 0.694
0.107 0.009 0.203
0.107 0.599 0.904
0.194 0.203 0.596
0.194 0.491 0.599
0.203 0.107 0.009
0.203 0.596 0.194
0.297 0.306 0.904
0.297 0.491 0.393
0.306 0.901 0.009
0.306 0.904 0.297
0.393 0.297 0.491
0.393 0.596 0.901
0.401 0.096 0.893
0.401 0.806 0.509
0.404 0.099 0.607
0.404 0.806 0.797
0.491 0.393 0.297
0.491 0.599 0.194
0.509 0.401 0.806
0.509 0.607 0.703
0.596 0.194 0.203
0.596 0.901 0.393
0.599 0.194 0.491
0.599 0.904 0.107
0.607 0.404 0.099
0.607 0.703 0.509
0.694 0.096 0.703
0.694 0.099 0.991
0.703 0.509 0.607
0.703 0.694 0.096
0.797 0.404 0.806
0.797 0.893 0.991
0.806 0.509 0.401
0.806 0.797 0.404
0.893 0.401 0.096
0.893 0.991 0.797
0.901 0.009 0.306
0.901 0.393 0.596
0.904 0.107 0.599
0.904 0.297 0.306
0.991 0.694 0.099
0.991 0.797 0.893
0.125 0.250 0.375
0.125 0.375 0.750
0.250 0.375 0.125
0.250 0.875 0.625
0.375 0.125 0.250
0.375 0.750 0.125
0.625 0.250 0.875
0.625 0.875 0.750
0.750 0.125 0.375
0.750 0.625 0.875
0.875 0.625 0.250
0.875 0.750 0.625
0.000 0.000 0.000
0.000 0.000 0.500
0.000 0.500 0.000
0.000 0.500 0.500
0.125 0.750 0.875
0.125 0.875 0.250
0.250 0.125 0.875
0.250 0.625 0.375
0.375 0.250 0.625
0.375 0.625 0.750
0.500 0.000 0.000
0.500 0.000 0.500
0.500 0.500 0.000
0.500 0.500 0.500
0.625 0.375 0.250
0.625 0.750 0.375
0.750 0.375 0.625
0.750 0.875 0.125
0.875 0.125 0.750
0.875 0.250 0.125
```

Calculated values
VASP energy	-5.6543	eV per atom
space group	Ia-3d (230)
volume	24.60	Å³ per atom

=====

[7]
## Sc2FeCo2 (GGA-PBE)

Data for a relaxed Sc2FeCo2 crystal.

Structure (POSCAR):
```
Sc2FeCo2
1.0
-1.600 1.600 7.669
1.600 -1.600 7.669
1.600 1.600 -7.669
Sc Fe Co
2 1 2
Direct
0.099 0.099 0.000
0.901 0.901 0.000
0.500 0.500 0.000
0.250 0.750 0.500
0.750 0.250 0.500
```

Calculated values
E_form	7.8	kJ/mol of atoms
space group	I4/mmm (139)
volume	15.70	Å³ per atom

=====

[8]
## ZrCdPS2 (GGA-PBE)

Data for a relaxed ZrCdPS2 crystal.

Structure (POSCAR):
```
ZrCdPS2
1.0
4.940 0.000 0.000
0.000 4.940 0.000
0.000 0.000 5.191
Zr Cd P S
1 1 1 2
Direct
0.000 0.000 0.000
0.500 0.500 0.500
0.000 0.000 0.500
0.000 0.500 0.000
0.500 0.000 0.000
```

Calculated values
uncorrected formation energy	-0.220	eV/atom
space group	P4/mmm (123)
volume	25.34	Å³ per atom

=====

no.,mass density (g/cm³)
1,5.1
2,9.9
3,5.0
4,1.8
5,8.6
6,5.7
7,5.6
8,3.9